A relaxed CsAsBrCl2 crystal. Source: Alexandria, functional PBE-GGA.

Calculated values
Its crystal system is tetragonal. The calculation puts the total energy at -3.16 eV per atom. The value obtained for the total moment is 0.0 μB per cell. As for the density of states at the Fermi level: 0.03 states/eV per atom.

Cell lengths 5.305, 5.305, 5.501 Å; angles 90.00, 90.00, 90.00 degrees
Element x y z (fractional)
1 Br 0.000 0.000 0.500
2 As 0.000 0.000 0.000
3 Cl 0.000 0.500 0.000
4 Cl 0.500 0.000 0.000
5 Cs 0.500 0.500 0.500